[1]
# Pa2Si4Pt3Rh

Pa2Si4Pt3Rh after structural relaxation (PBE, Alexandria).

Output
density: 12.1 g/cm3
energy: -75.85 eV/cell

```
Pa2Si4Pt3Rh
1.0
-0.797 -1.887 -3.681
2.198 -3.369 1.251
-8.092 -3.889 3.745
Si Pt Pa Rh
4 3 2 1
Cartesian
-5.511 -3.401 0.526
-1.880 -3.116 2.005
0.000 0.000 0.000
0.701 -2.628 -1.215
-4.046 -1.945 1.873
-7.502 -4.358 1.447
0.111 -2.160 1.083
-2.430 -1.920 -0.900
-4.961 -4.597 3.431
-3.345 -4.573 0.658
```

=====

[2]
# PaSi2Pt2Rh

PaSi2Pt2Rh after structural relaxation (PBE, Alexandria).

Output
density: 11.1 g/cm3
energy: -43.42 eV/cell

```
PaSi2Pt2Rh
1.0
3.923 0.000 0.000
0.000 3.923 0.000
-1.962 -1.962 7.589
Pt Si Rh Pa
2 2 1 1
Cartesian
0.000 1.962 3.795
1.962 0.000 3.795
1.962 1.962 5.246
0.000 0.000 2.343
0.000 0.000 0.000
1.962 1.962 0.000
```

=====

[3]
# SmPaPtRh

SmPaPtRh after structural relaxation (PBE, Alexandria).

Output
density: 12.6 g/cm3
energy: -31.35 eV/cell
energy of formation from the pure elements: -0.94 eV/atom
excess energy over the best structure of this formula in the dataset: 0.0 meV/atom

```
SmPaPtRh
1.0
3.738 0.000 0.000
0.000 4.287 0.000
-1.869 0.000 5.598
Rh Sm Pt Pa
1 1 1 1
Cartesian
0.000 0.000 4.479
0.000 0.000 1.612
1.869 2.144 0.952
1.869 2.144 4.153
```

=====

[4]
# SmPaPtRh

SmPaPtRh after structural relaxation (PBE, Alexandria).

Output
density: 13.1 g/cm3
energy: -30.52 eV/cell
energy of formation from the pure elements: -0.73 eV/atom
excess energy over the best structure of this formula in the dataset: 207.1 meV/atom

```
SmPaPtRh
1.0
-1.815 4.222 -1.859
-0.117 0.700 -4.906
-4.336 -0.011 -2.403
Pa Rh Sm Pt
1 1 1 1
Cartesian
0.000 0.000 0.000
-1.567 1.228 -2.292
-3.134 2.456 -4.584
-4.700 3.684 -6.876
```

=====

[5]
# PaSnPtRh

PaSnPtRh after structural relaxation (PBE, Alexandria).

Output
density: 13.5 g/cm3
energy: -29.61 eV/cell
energy of formation from the pure elements: -0.68 eV/atom

```
PaSnPtRh
1.0
4.833 0.000 0.000
2.417 4.186 0.000
2.417 1.395 3.946
Rh Pa Pt Sn
1 1 1 1
Cartesian
2.417 1.395 0.987
4.833 2.791 1.973
7.250 4.186 2.960
0.000 0.000 0.000
```

=====

[6]
# Pa2SnPtRh5

Pa2SnPtRh5 after structural relaxation (PBE, Alexandria).

Output
density: 12.1 g/cm3
energy: -137.66 eV/cell
energy of formation from the pure elements: -0.34 eV/atom

```
Pa2SnPtRh5
1.0
-4.415 -6.797 0.836
6.847 -4.366 0.663
-1.285 6.275 4.523
Rh Sn Pa Pt
10 2 4 2
Cartesian
3.896 -4.248 2.053
2.350 -8.068 2.535
1.102 -2.167 4.221
2.648 1.654 3.739
-1.202 3.180 3.488
-1.500 -6.542 2.284
0.046 -2.722 1.802
0.000 0.000 0.000
-2.748 -0.640 3.970
1.216 -5.582 0.750
-0.034 0.347 2.637
1.182 -5.235 3.386
1.931 -2.505 0.355
-1.885 -4.878 0.617
0.501 -8.658 1.145
4.318 -6.285 0.883
3.389 -1.836 2.968
-2.242 -3.052 3.055
```